# 1
The following is a DFT calculation (PBE-GGA) of Ho3MgTl4Te8 after structural relaxation. Values from VASP.

```
&SYSTEM
  ibrav = 0, nat = 16, ntyp = 4
/
ATOMIC_SPECIES
Ho 164.93 Ho.upf
Mg 24.30 Mg.upf
Tl 204.38 Tl.upf
Te 127.60 Te.upf
CELL_PARAMETERS angstrom
4.418 2.551 8.019
-4.418 2.551 8.019
0.000 -5.102 8.019
ATOMIC_POSITIONS angstrom
Ho -2.209 -1.275 8.019
Ho -2.209 1.275 16.038
Ho 0.000 2.551 8.019
Mg 0.000 0.000 0.000
Tl -4.418 0.000 12.028
Tl -2.209 1.275 4.009
Tl 2.209 1.275 4.009
Tl 0.000 0.000 12.028
Te 0.000 -2.592 9.707
Te -2.245 1.296 9.707
Te -2.245 -1.296 14.350
Te 0.000 0.000 6.286
Te 0.000 0.000 17.770
Te 2.245 1.296 9.707
Te 2.245 -1.296 14.350
Te 0.000 2.592 14.350
```

formation energy (no corrections) = -0.898 eV per atom
space-group type = R-3m, No. 166
calculated total energy = -64.3 eV per formula unit
size of the total moment = 0.00 Bohr magnetons per cell

# 2
The following is a DFT calculation (PBE-GGA) of Ho3Tm3MgTe8 after structural relaxation. Values from VASP.

```
&SYSTEM
  ibrav = 0, nat = 15, ntyp = 4
/
ATOMIC_SPECIES
Ho 164.93 Ho.upf
Tm 168.93 Tm.upf
Mg 24.30 Mg.upf
Te 127.60 Te.upf
CELL_PARAMETERS angstrom
4.306 2.486 7.049
-4.306 2.486 7.049
0.000 -4.972 7.049
ATOMIC_POSITIONS angstrom
Ho -2.153 -1.243 7.049
Ho -2.153 1.243 14.099
Ho 0.000 2.486 7.049
Tm -4.306 0.000 10.574
Tm -2.153 1.243 3.525
Tm 2.153 1.243 3.525
Mg 0.000 0.000 10.574
Te 0.000 0.000 5.266
Te -2.141 -1.236 12.306
Te 0.000 -2.473 8.842
Te -2.141 1.236 8.842
Te 2.141 -1.236 12.306
Te 0.000 2.473 12.306
Te 2.141 1.236 8.842
Te 0.000 0.000 15.882
```

formation energy (no corrections) = -1.233 eV per atom
space-group type = R-3m, No. 166
calculated total energy = -72.4 eV per formula unit
size of the total moment = 0.00 Bohr magnetons per cell

# 3
The following is a DFT calculation (PBE-GGA) of Y3Ho3MgTe8 after structural relaxation. Values from VASP.

```
&SYSTEM
  ibrav = 0, nat = 15, ntyp = 4
/
ATOMIC_SPECIES
Y 88.91 Y.upf
Ho 164.93 Ho.upf
Mg 24.30 Mg.upf
Te 127.60 Te.upf
CELL_PARAMETERS angstrom
4.337 2.504 7.099
-4.337 2.504 7.099
0.000 -5.008 7.099
ATOMIC_POSITIONS angstrom
Y -2.168 -1.252 7.099
Y -2.168 1.252 14.198
Y 0.000 2.504 7.099
Ho -4.337 0.000 10.648
Ho -2.168 1.252 3.549
Ho 2.168 1.252 3.549
Mg 0.000 0.000 10.648
Te 0.000 0.000 5.308
Te -2.145 -1.239 12.388
Te 0.000 -2.477 8.909
Te -2.145 1.239 8.909
Te 2.145 -1.239 12.388
Te 0.000 2.477 12.388
Te 2.146 1.239 8.909
Te 0.000 0.000 15.989
```

formation energy (no corrections) = -1.281 eV per atom
space-group type = R-3m, No. 166
calculated total energy = -79.1 eV per formula unit
size of the total moment = 0.00 Bohr magnetons per cell

# 4
The following is a DFT calculation (PBE-GGA) of HoThMg after structural relaxation. Values from VASP.

```
&SYSTEM
  ibrav = 0, nat = 3, ntyp = 3
/
ATOMIC_SPECIES
Ho 164.93 Ho.upf
Th 232.04 Th.upf
Mg 24.30 Mg.upf
CELL_PARAMETERS angstrom
-1.770 1.770 7.064
1.770 -1.770 7.064
1.770 1.770 -7.064
ATOMIC_POSITIONS angstrom
Ho 0.000 0.000 0.000
Th 0.000 0.000 9.533
Mg 0.000 0.000 4.846
```

space-group type = I4mm, No. 107
calculated total energy = -13.6 eV per formula unit
size of the total moment = 0.00 Bohr magnetons per cell
energy relative to the lowest polymorph listed for this composition = 31 meV per atom
E_form = 0.009 eV/atom

# 5
The following is a DFT calculation (PBE-GGA) of Ho4ThMg after structural relaxation. Values from VASP.

```
&SYSTEM
  ibrav = 0, nat = 12, ntyp = 3
/
ATOMIC_SPECIES
Ho 164.93 Ho.upf
Th 232.04 Th.upf
Mg 24.30 Mg.upf
CELL_PARAMETERS angstrom
3.369 -9.456 0.000
3.369 9.456 0.000
-0.461 0.000 5.674
ATOMIC_POSITIONS angstrom
Ho 1.552 3.964 1.432
Ho 1.556 0.726 0.972
Ho 1.325 -0.726 3.809
Ho 1.322 -3.964 4.269
Ho 4.955 3.964 1.405
Ho 4.951 0.726 1.865
Ho 4.721 -0.726 4.702
Ho 4.724 -3.964 4.243
Th 3.023 2.362 4.256
Th 3.254 -2.362 1.419
Mg 3.254 6.964 1.419
Mg 3.023 -6.964 4.256
```

space-group type = C2/c, No. 15
calculated total energy = -26.5 eV per formula unit
size of the total moment = 0.00 Bohr magnetons per cell
energy relative to the lowest polymorph listed for this composition = 136 meV per atom
E_form = 0.135 eV/atom

# 6
The following is a DFT calculation (PBE-GGA) of Ho6ThMg2 after structural relaxation. Values from VASP.

```
&SYSTEM
  ibrav = 0, nat = 9, ntyp = 3
/
ATOMIC_SPECIES
Ho 164.93 Ho.upf
Th 232.04 Th.upf
Mg 24.30 Mg.upf
CELL_PARAMETERS angstrom
3.305 1.908 7.310
-3.305 1.908 7.310
0.000 -3.816 7.310
ATOMIC_POSITIONS angstrom
Ho -1.771 -0.727 7.310
Ho -0.128 -1.890 11.132
Ho -1.573 1.056 11.132
Ho 1.515 -1.170 7.310
Ho 0.256 1.897 7.310
Ho 1.701 0.834 11.132
Th 0.000 0.000 17.287
Mg 0.000 0.000 1.274
Mg 0.000 0.000 20.368
```

space-group type = R3, No. 146
calculated total energy = -35.9 eV per formula unit
size of the total moment = 0.00 Bohr magnetons per cell
E_form = 0.243 eV/atom

# 7
The following is a DFT calculation (PBE-GGA) of HoThMg after structural relaxation. Values from VASP.

```
&SYSTEM
  ibrav = 0, nat = 6, ntyp = 3
/
ATOMIC_SPECIES
Ho 164.93 Ho.upf
Th 232.04 Th.upf
Mg 24.30 Mg.upf
CELL_PARAMETERS angstrom
1.766 -8.970 0.000
1.766 8.970 0.000
0.000 0.000 5.602
ATOMIC_POSITIONS angstrom
Ho 1.766 7.172 4.202
Ho 1.766 -7.172 1.401
Th 1.766 4.907 1.401
Th 1.766 -4.907 4.202
Mg 1.766 1.025 4.202
Mg 1.766 -1.025 1.401
```

space-group type = Cmcm, No. 63
calculated total energy = -13.6 eV per formula unit
size of the total moment = 0.00 Bohr magnetons per cell
energy relative to the lowest polymorph listed for this composition = 26 meV per atom
E_form = 0.004 eV/atom

# 8
The following is a DFT calculation (PBE-GGA) of HoThMg after structural relaxation. Values from VASP.

```
&SYSTEM
  ibrav = 0, nat = 3, ntyp = 3
/
ATOMIC_SPECIES
Ho 164.93 Ho.upf
Th 232.04 Th.upf
Mg 24.30 Mg.upf
CELL_PARAMETERS angstrom
3.488 0.000 0.000
-1.744 3.021 0.000
0.000 0.000 8.513
ATOMIC_POSITIONS angstrom
Ho 0.000 0.000 0.000
Th 0.000 2.014 5.637
Mg 1.744 1.007 2.770
```

space-group type = P3m1, No. 156
calculated total energy = -13.4 eV per formula unit
size of the total moment = 0.00 Bohr magnetons per cell
energy relative to the lowest polymorph listed for this composition = 97 meV per atom
E_form = 0.075 eV/atom